# BaBAs2Br | Alexandria | PBE | relaxed
# D(E_F) (states/eV/cell): 4.7
# Formation energy from raw total energies (eV per formula unit): 8.01
# Offset from the most stable computed form (eV/atom): 1.7773
# ρ (Mg/m³): 2.71
# Total moment (μB/cell): 4.51
data_BaBAs2Br
_chemical_formula_sum 'Ba1 B1 As2 Br1'
_cell_length_a 6.337
_cell_length_b 6.337
_cell_length_c 5.773
_cell_angle_alpha 90.00
_cell_angle_beta 90.00
_cell_angle_gamma 90.00
_symmetry_space_group_name_H-M 'P 4/m m m'
_symmetry_Int_Tables_number 123
_symmetry_space_group_name_Hall '-P 4 2'
loop_
_atom_site_label
_atom_site_fract_x
_atom_site_fract_y
_atom_site_fract_z
_atom_site_occupancy
Ba1 0.000 0.000 0.000 1
B1 0.000 0.000 0.500 1
As1 0.000 0.500 0.000 1
Br1 0.500 0.500 0.500 1


# TaRe2Tc | Alexandria | PBE | relaxed
# D(E_F) (states/eV/cell): 5.7
# Calculated formation energy (eV per atom): -0.0703
# Offset from the most stable computed form (eV/atom): 0.0000
# ρ (Mg/m³): 17.27
# Total moment (μB/cell): 0.00
data_TaRe2Tc
_chemical_formula_sum 'Ta2 Re4 Tc2'
_cell_length_a 3.148
_cell_length_b 4.436
_cell_length_c 8.968
_cell_angle_alpha 90.00
_cell_angle_beta 90.00
_cell_angle_gamma 90.00
_symmetry_space_group_name_H-M 'I m m m'
_symmetry_Int_Tables_number 71
_symmetry_space_group_name_Hall '-I 2 2'
loop_
_atom_site_label
_atom_site_fract_x
_atom_site_fract_y
_atom_site_fract_z
_atom_site_occupancy
Ta1 0.000 0.000 0.000 1
Re1 0.000 0.500 0.257 1
Tc1 0.000 0.000 0.500 1


# Tl3RuCl7 | Alexandria | PBE | relaxed
# D(E_F) (states/eV/cell): 11.7
# Formation energy from raw total energies (eV per formula unit): -8.60
# ρ (Mg/m³): 4.55
# Total moment (μB/cell): 4.02
data_Tl3RuCl7
_chemical_formula_sum 'Tl6 Ru2 Cl14'
_cell_length_a 10.325
_cell_length_b 9.696
_cell_length_c 7.821
_cell_angle_alpha 90.00
_cell_angle_beta 116.34
_cell_angle_gamma 90.00
_symmetry_space_group_name_H-M 'C 1 m 1'
_symmetry_Int_Tables_number 8
loop_
_symmetry_equiv_pos_as_xyz
'x,y,z'
'x,-y,z'
'x+1/2,y+1/2,z'
'x+1/2,-y+1/2,z'
loop_
_atom_site_label
_atom_site_fract_x
_atom_site_fract_y
_atom_site_fract_z
_atom_site_occupancy
Tl1 0.000 0.000 0.000 1
Tl2 0.010 0.274 0.508 1
Ru1 0.495 0.000 0.990 1
Cl1 0.137 0.325 0.195 1
Cl2 0.148 0.500 0.836 1
Cl3 0.346 0.000 0.146 1
Cl4 0.353 0.172 0.776 1
Cl5 0.450 0.500 0.611 1


# PmInSiRh2 | Alexandria | PBE | relaxed
# D(E_F) (states/eV/cell): 1.6
# Formation energy from raw total energies (eV per formula unit): -1.89
# ρ (Mg/m³): 6.92
# Total moment (μB/cell): 0.00
data_PmInSiRh2
_chemical_formula_sum 'Pm1 In1 Si1 Rh2'
_cell_length_a 4.345
_cell_length_b 4.345
_cell_length_c 6.271
_cell_angle_alpha 90.00
_cell_angle_beta 90.00
_cell_angle_gamma 90.00
_symmetry_space_group_name_H-M 'P 4 m m'
_symmetry_Int_Tables_number 99
loop_
_symmetry_equiv_pos_as_xyz
'x,y,z'
'-y,x,z'
'-x,-y,z'
'y,-x,z'
'-x,y,z'
'y,x,z'
'x,-y,z'
'-y,-x,z'
loop_
_atom_site_label
_atom_site_fract_x
_atom_site_fract_y
_atom_site_fract_z
_atom_site_occupancy
Pm1 0.000 0.000 0.000 1
In1 0.500 0.500 0.118 1
Si1 0.000 0.000 0.517 1
Rh1 0.000 0.500 0.375 1